Hg2SBr: PBEsol geometry, SCAN.

```
data_Hg2SBr
_chemical_formula_sum 'Hg2 S1 Br1'
_cell_length_a 4.966
_cell_length_b 4.966
_cell_length_c 4.966
_cell_angle_alpha 60.00
_cell_angle_beta 60.00
_cell_angle_gamma 60.00
_space_group_name_H-M_alt 'P 1'
_space_group_IT_number 1
loop_
_space_group_symop_operation_xyz
'x,y,z'
loop_
_atom_site_label
_atom_site_type_symbol
_atom_site_fract_x
_atom_site_fract_y
_atom_site_fract_z
Hg1 Hg 0.250 0.250 0.250
Hg2 Hg 0.750 0.750 0.750
S1 S 0.000 0.000 0.000
Br1 Br 0.500 0.500 0.500
```

Results
Formation energy from raw total energies (eV per atom): 0.285
Calculated total energy (eV/atom): -41.070